(1)
Entry from Alexandria via LeMat-Bulk: SmGdMgAg after structural relaxation (GGA-PBE).

a = 7.512 Å, b = 7.512 Å, c = 7.512 Å
α = 90.00°, β = 90.00°, γ = 90.00°
Space group F-43m (No. 216)
Symmetry-distinct sites (fractional):
Sm1 0.000 0.000 0.000 (multiplicity 4)
Gd1 0.000 0.000 0.500 (multiplicity 4)
Mg1 0.250 0.250 0.250 (multiplicity 4)
Ag1 0.250 0.250 0.750 (multiplicity 4)

## Properties
calculated volume: 423.9 Å³ per cell
total magnetic moment: 1.93 μB/atom
ρ: 6.89 Mg/m³
density of states at the Fermi level: 1.1617 states/eV/atom
calculated total energy: -5.96 eV per atom
energy of formation: -0.15 eV/atom

(2)
Entry from Alexandria via LeMat-Bulk: TbGdMgAg after structural relaxation (GGA-PBE).

a = 7.455 Å, b = 7.455 Å, c = 7.455 Å
α = 90.00°, β = 90.00°, γ = 90.00°
Space group F-43m (No. 216)
Symmetry-distinct sites (fractional):
Tb1 0.000 0.000 0.000 (multiplicity 4)
Gd1 0.000 0.000 0.500 (multiplicity 4)
Mg1 0.250 0.250 0.250 (multiplicity 4)
Ag1 0.250 0.250 0.750 (multiplicity 4)

## Properties
calculated volume: 414.3 Å³ per cell
total magnetic moment: 1.90 μB/atom
ρ: 7.19 Mg/m³
density of states at the Fermi level: 1.1334 states/eV/atom
calculated total energy: -5.94 eV per atom
energy of formation: -0.15 eV/atom

(3)
Entry from Alexandria via LeMat-Bulk: GdThMgAg after structural relaxation (GGA-PBE).

a = 7.540 Å, b = 7.540 Å, c = 7.540 Å
α = 90.00°, β = 90.00°, γ = 90.00°
Space group F-43m (No. 216)
Symmetry-distinct sites (fractional):
Gd1 0.000 0.000 0.000 (multiplicity 4)
Th1 0.000 0.000 0.500 (multiplicity 4)
Mg1 0.250 0.250 0.750 (multiplicity 4)
Ag1 0.250 0.250 0.250 (multiplicity 4)

## Properties
calculated volume: 428.6 Å³ per cell
total magnetic moment: 2.04 μB/atom
ρ: 8.08 Mg/m³
density of states at the Fermi level: 0.8603 states/eV/atom
calculated total energy: -6.51 eV per atom
energy of formation: -0.03 eV/atom

(4)
Entry from Alexandria via LeMat-Bulk: GdMgTlAg after structural relaxation (GGA-PBE).

a = 7.186 Å, b = 7.186 Å, c = 7.186 Å
α = 90.00°, β = 90.00°, γ = 90.00°
Space group F-43m (No. 216)
Symmetry-distinct sites (fractional):
Gd1 0.000 0.000 0.000 (multiplicity 4)
Mg1 0.250 0.250 0.250 (multiplicity 4)
Tl1 0.000 0.000 0.500 (multiplicity 4)
Ag1 0.250 0.250 0.750 (multiplicity 4)

## Properties
calculated volume: 371.0 Å³ per cell
total magnetic moment: 1.76 μB/atom
ρ: 8.84 Mg/m³
density of states at the Fermi level: 0.7618 states/eV/atom
calculated total energy: -5.37 eV per atom
energy of formation: -0.15 eV/atom